Here is a relaxed structure of YMg2Cd from Alexandria via LeMat-Bulk. Energies are from GGA-PBE.

Cell: 3.4653 3.4653 30.0266 Å, 90.00 90.00 120.00°
Space group R-3m (No. 166, hexagonal axes)
Asymmetric unit:
Y (0.0000, 0.0000, 0.0000) x3
Mg (0.0000, 0.0000, 0.2424) x6
Cd (0.0000, 0.0000, 0.5000) x3

Formation energy from the elements ... 0.00 eV per atom
Crystal system ... trigonal
Total energy ... -2.637 eV/atom
V ... 26.02 A^3/atom

***

Here is a relaxed structure of TbMg3Ag2 from Alexandria via LeMat-Bulk. Energies are from GGA-PBE.

Cell: 16.201 4.480 8.205 Å, 90.00 112.93 90.00°
Space group C2/m (No. 12)
Asymmetric unit:
Tb (0.119, 0.000, 0.156) x4
Mg (0.053, 0.000, 0.691) x4
Mg (0.150, 0.500, 0.493) x4
Mg (0.187, 0.500, 0.900) x4
Ag (0.007, 0.500, 0.835) x4
Ag (0.233, 0.000, 0.716) x4

Formation energy from the elements ... -0.17 eV per atom
Crystal system ... monoclinic
Total energy ... -2.690 eV/atom
V ... 22.85 A^3/atom

***

Here is a relaxed structure of Ba2SrAs from Alexandria via LeMat-Bulk. Energies are from GGA-PBE.

Cell: 4.6714 4.6714 35.0084 Å, 90.00 90.00 120.00°
Space group R3m (No. 160, hexagonal axes)
Asymmetric unit:
Ba (0.0000, 0.0000, 0.0000) x3
Ba (0.0000, 0.0000, 0.2312) x3
Sr (0.0000, 0.0000, 0.4499) x3
As (0.0000, 0.0000, 0.6155) x3

Formation energy from the elements ... -0.61 eV per atom
Crystal system ... trigonal
Total energy ... -3.153 eV/atom
V ... 55.13 A^3/atom

***

Here is a relaxed structure of TbSm5HoEr2 from Alexandria via LeMat-Bulk. Energies are from GGA-PBE.

Cell: 5.616 20.156 10.633 Å, 90.00 90.00 90.00°
Space group Cmc2_1 (No. 36)
Asymmetric unit:
Tb (0.000, 0.199, 0.000) x4
Sm (0.000, 0.017, 0.010) x4
Sm (0.000, 0.281, 0.300) x4
Sm (0.000, 0.299, 0.696) x4
Sm (0.000, 0.388, 0.013) x4
Sm (0.000, 0.481, 0.731) x4
Ho (0.000, 0.411, 0.448) x4
Er (0.000, 0.111, 0.728) x4
Er (0.000, 0.115, 0.304) x4

Formation energy from the elements ... 0.15 eV per atom
Crystal system ... orthorhombic
Total energy ... -4.509 eV/atom
V ... 33.43 A^3/atom

***

Here is a relaxed structure of Sr5Pd from Alexandria via LeMat-Bulk. Energies are from GGA-PBE.

Cell: 4.403 18.860 6.449 Å, 90.00 90.00 90.00°
Space group Cmmm (No. 65)
Asymmetric unit:
Sr (0.000, 0.000, 0.000) x2
Sr (0.000, 0.119, 0.500) x4
Sr (0.000, 0.332, 0.000) x4
Pd (0.000, 0.500, 0.500) x2

Formation energy from the elements ... -0.06 eV per atom
Relative energy among the computed polymorphs ... 164.6 meV per atom
Crystal system ... orthorhombic
Total energy ... -2.325 eV/atom
V ... 44.63 A^3/atom

***

Here is a relaxed structure of Sb2MoPbC from Alexandria via LeMat-Bulk. Energies are from GGA-PBE.

Cell: 5.804 5.804 5.432 Å, 90.00 90.00 90.00°
Space group P4/mmm (No. 123)
Asymmetric unit:
Sb (0.000, 0.500, 0.000) x2
Mo (0.000, 0.000, 0.500) x1
Pb (0.000, 0.000, 0.000) x1
C (0.500, 0.500, 0.500) x1

Crystal system ... tetragonal
ΔE_f (raw) ... 2.7757 eV per atom
Total energy ... -3.626 eV/atom
V ... 36.60 A^3/atom

***

Here is a relaxed structure of BeReCl2 from Alexandria via LeMat-Bulk. Energies are from GGA-PBE.

Cell: 5.156 5.156 9.666 Å, 90.00 90.00 90.00°
Space group I-42d (No. 122)
Asymmetric unit:
Be (0.000, 0.000, 0.000) x4
Re (0.000, 0.000, 0.500) x4
Cl (0.195, 0.250, 0.125) x8

Relative energy among the computed polymorphs ... 951.2 meV per atom
Crystal system ... tetragonal
ΔE_f (raw) ... 0.8510 eV per atom
Total energy ... -4.116 eV/atom
V ... 16.06 A^3/atom

***

Here is a relaxed structure of DyHgC2O6 from Alexandria via LeMat-Bulk. Energies are from GGA-PBE.

Cell: 8.836 9.371 7.157 Å, 90.00 113.79 90.00°
Space group C2/c (No. 15)
Asymmetric unit:
Dy (0.000, 0.091, 0.250) x4
Hg (0.000, 0.396, 0.750) x4
C (0.234, 0.130, 0.756) x8
O (0.086, 0.115, 0.606) x8
O (0.169, 0.270, 0.240) x8
O (0.232, 0.467, 0.101) x8

Crystal system ... monoclinic
ΔE_f (raw) ... -1.7280 eV per atom
Total energy ... -7.038 eV/atom
V ... 13.56 A^3/atom

***

Here is a relaxed structure of SrTiCd3 from Alexandria via LeMat-Bulk. Energies are from GGA-PBE.

Cell: 5.392 5.392 5.392 Å, 90.00 90.00 90.00°
Space group Pm-3m (No. 221)
Asymmetric unit:
Sr (0.000, 0.000, 0.000) x1
Ti (0.500, 0.500, 0.500) x1
Cd (0.000, 0.500, 0.500) x3

Formation energy from the elements ... 0.24 eV per atom
Relative energy among the computed polymorphs ... 0.0 meV per atom
Crystal system ... cubic
Total energy ... -2.221 eV/atom
V ... 31.34 A^3/atom

***

Here is a relaxed structure of NaGa2O from Alexandria via LeMat-Bulk. Energies are from GGA-PBE.

Cell: 7.452 7.452 4.755 Å, 90.00 90.00 90.00°
Space group I-42d (No. 122)
Asymmetric unit:
Na (0.000, 0.000, 0.000) x4
Ga (0.166, 0.250, 0.625) x8
O (0.000, 0.000, 0.500) x4

Crystal system ... tetragonal
ΔE_f (raw) ... -0.5185 eV per atom
Total energy ... -3.601 eV/atom
V ... 16.51 A^3/atom

***

Here is a relaxed structure of Tl2AsI5 from Alexandria via LeMat-Bulk. Energies are from GGA-PBE.

Cell: 8.392 8.392 11.248 Å, 90.00 90.00 90.00°
Space group I4mm (No. 107)
Asymmetric unit:
Tl (0.000, 0.500, 0.000) x4
As (0.000, 0.000, 0.190) x2
I (0.000, 0.000, 0.422) x2
I (0.242, 0.242, 0.162) x8

Relative energy among the computed polymorphs ... 11.3 meV per atom
Crystal system ... tetragonal
ΔE_f (raw) ... -0.3835 eV per atom
Total energy ... -2.525 eV/atom
V ... 49.51 A^3/atom

***

Here is a relaxed structure of LaSm2Er12 from Alexandria via LeMat-Bulk. Energies are from GGA-PBE.

Cell: 3.552 5.600 24.088 Å, 90.00 94.20 90.00°
Space group P2/m (No. 10)
Asymmetric unit:
La (0.000, 0.000, 0.000) x1
Sm (0.359, 0.000, 0.717) x2
Er (0.096, 0.500, 0.194) x2
Er (0.165, 0.500, 0.331) x2
Er (0.214, 0.000, 0.428) x2
Er (0.277, 0.500, 0.555) x2
Er (0.432, 0.000, 0.861) x2
Er (0.466, 0.500, 0.931) x2

Formation energy from the elements ... 0.11 eV per atom
Crystal system ... monoclinic
Total energy ... -4.502 eV/atom
V ... 31.86 A^3/atom

***

Here is a relaxed structure of Cu2AsCl from Alexandria via LeMat-Bulk. Energies are from GGA-PBE.

Cell: 3.151 3.415 7.043 Å, 90.00 95.42 90.00°
Space group Pm (No. 6)
Asymmetric unit:
Cu (0.000, 0.000, 0.000) x1
Cu (0.433, 0.500, 0.809) x1
As (0.551, 0.500, 0.152) x1
Cl (0.272, 0.000, 0.598) x1

Relative energy among the computed polymorphs ... 0.0 meV per atom
Crystal system ... monoclinic
ΔE_f (raw) ... -0.0822 eV per atom
Total energy ... -3.754 eV/atom
V ... 18.86 A^3/atom

***

Here is a relaxed structure of TmZnAgHg from Alexandria via LeMat-Bulk. Energies are from GGA-PBE.

Cell: 6.865 6.865 6.865 Å, 90.00 90.00 90.00°
Space group F-43m (No. 216)
Asymmetric unit:
Tm (0.000, 0.000, 0.000) x4
Zn (0.000, 0.000, 0.500) x4
Ag (0.250, 0.250, 0.750) x4
Hg (0.250, 0.250, 0.250) x4

Formation energy from the elements ... -0.27 eV per atom
Crystal system ... cubic
Total energy ... -2.496 eV/atom
V ... 20.22 A^3/atom

***

Here is a relaxed structure of Rb3La3NpTe8 from Alexandria via LeMat-Bulk. Energies are from GGA-PBE.

Cell: 9.3483 9.3483 26.0326 Å, 90.00 90.00 120.00°
Space group R-3m (No. 166, hexagonal axes)
Asymmetric unit:
Rb (0.0000, 0.5000, 0.0000) x9
La (0.0000, 0.5000, 0.5000) x9
Np (0.0000, 0.0000, 0.5000) x3
Te (0.0000, 0.0000, 0.2355) x6
Te (0.0145, 0.5072, 0.2324) x18

Crystal system ... trigonal
ΔE_f (raw) ... -1.2989 eV per atom
Total energy ... -5.016 eV/atom
V ... 43.78 A^3/atom

***

Here is a relaxed structure of K2PmCd2O4 from Alexandria via LeMat-Bulk. Energies are from GGA-PBE.

Cell: 12.784 3.635 8.905 Å, 90.00 125.58 90.00°
Space group C2/m (No. 12)
Asymmetric unit:
K (0.182, 0.000, 0.287) x4
Pm (0.000, 0.000, 0.500) x2
Cd (0.121, 0.500, 0.890) x4
O (0.068, 0.500, 0.400) x4
O (0.198, 0.000, 0.809) x4

Crystal system ... monoclinic
ΔE_f (raw) ... -1.6517 eV per atom
Total energy ... -4.830 eV/atom
V ... 18.70 A^3/atom

***

Here is a relaxed structure of CoPSeBr2 from Alexandria via LeMat-Bulk. Energies are from GGA-PBE.

Cell: 5.000 5.000 5.029 Å, 90.00 90.00 90.00°
Space group P4/mmm (No. 123)
Asymmetric unit:
Co (0.000, 0.000, 0.000) x1
P (0.500, 0.500, 0.500) x1
Se (0.500, 0.500, 0.000) x1
Br (0.000, 0.500, 0.500) x2

Relative energy among the computed polymorphs ... 133.9 meV per atom
Crystal system ... tetragonal
ΔE_f (raw) ... 0.7602 eV per atom
Total energy ... -3.109 eV/atom
V ... 25.15 A^3/atom

***

Here is a relaxed structure of Sn8Te3Se4 from Alexandria via LeMat-Bulk. Energies are from GGA-PBE.

Cell: 12.325 12.318 8.645 Å, 90.00 134.53 90.00°
Space group C2/m (No. 12)
Asymmetric unit:
Sn (0.000, 0.245, 0.000) x4
Sn (0.000, 0.252, 0.500) x4
Sn (0.243, 0.000, 0.000) x4
Sn (0.248, 0.500, 0.514) x4
Te (0.000, 0.500, 0.000) x2
Te (0.250, 0.250, 0.500) x4
Se (0.000, 0.000, 0.000) x2
Se (0.000, 0.000, 0.500) x2
Se (0.250, 0.250, 0.000) x4

Crystal system ... monoclinic
ΔE_f (raw) ... -0.2313 eV per atom
Total energy ... -3.924 eV/atom
V ... 31.19 A^3/atom

***

Here is a relaxed structure of Na3CaCl from Alexandria via LeMat-Bulk. Energies are from GGA-PBE.

Cell: 6.749 6.749 6.749 Å, 90.00 90.00 90.00°
Space group Pm-3m (No. 221)
Asymmetric unit:
Na (0.000, 0.000, 0.500) x3
Ca (0.000, 0.000, 0.000) x1
Cl (0.500, 0.500, 0.500) x1

Relative energy among the computed polymorphs ... 718.8 meV per atom
Crystal system ... cubic
ΔE_f (raw) ... 0.2614 eV per atom
Total energy ... -1.300 eV/atom
V ... 61.49 A^3/atom

***

Here is a relaxed structure of Pd4PbAu2 from Alexandria via LeMat-Bulk. Energies are from GGA-PBE.

Cell: 4.5510 4.5510 22.2682 Å, 90.00 90.00 120.00°
Space group R-3m (No. 166, hexagonal axes)
Asymmetric unit:
Pd (0.0000, 0.0000, 0.1219) x6
Pd (0.0000, 0.0000, 0.3747) x6
Pb (0.0000, 0.0000, 0.5000) x3
Au (0.0000, 0.0000, 0.2549) x6

Formation energy from the elements ... 0.01 eV per atom
Relative energy among the computed polymorphs ... 61.0 meV per atom
Crystal system ... trigonal
Total energy ... -4.422 eV/atom
V ... 19.02 A^3/atom

***

Here is a relaxed structure of TcP3S from Alexandria via LeMat-Bulk. Energies are from GGA-PBE.

Cell: 4.301 4.301 4.301 Å, 90.00 90.00 90.00°
Space group Pm-3m (No. 221)
Asymmetric unit:
Tc (0.000, 0.000, 0.000) x1
P (0.000, 0.500, 0.500) x3
S (0.500, 0.500, 0.500) x1

Relative energy among the computed polymorphs ... 540.2 meV per atom
Crystal system ... cubic
ΔE_f (raw) ... 1.1676 eV per atom
Total energy ... -4.977 eV/atom
V ... 15.91 A^3/atom

***

Here is a relaxed structure of Li2Mg3ZnCd3 from Alexandria via LeMat-Bulk. Energies are from GGA-PBE.

Cell: 8.1407 8.1407 3.0560 Å, 90.00 90.00 120.00°
Space group P-62m (No. 189)
Asymmetric unit:
Li (0.3333, 0.6667, 0.0000) x2
Mg (0.0000, 0.7075, 0.0000) x3
Zn (0.0000, 0.0000, 0.5000) x1
Cd (0.0000, 0.3685, 0.5000) x3

Formation energy from the elements ... -0.14 eV per atom
Crystal system ... hexagonal
Total energy ... -1.540 eV/atom
V ... 19.49 A^3/atom